A relaxed BaSrSb3 crystal. Source: the Alexandria database, functional GGA-PBE.

Values from the calculation:
Total DFT energy (no corrections)   -16.34 eV per formula unit
Polymorph energy (0 for the lowest one)   0.724 eV/atom
Formation energy without anion corrections   -36 kJ/mol of formula units

a = 5.9846 Å, b = 5.9846 Å, c = 5.9846 Å
α = 90.00°, β = 90.00°, γ = 90.00°
Space group Pm-3m (No. 221)
One atom of each set of equivalent atoms:
1 Ba 0.0000 0.0000 0.0000 [1 per cell]
2 Sr 0.5000 0.5000 0.5000 [1 per cell]
3 Sb 0.0000 0.5000 0.5000 [3 per cell]

---

A relaxed Nd8Er2Pb crystal. Source: the Alexandria database, functional GGA-PBE.

Values from the calculation:
Total DFT energy (no corrections)   -51.87 eV per formula unit
Energy of formation   -0.081 eV per atom

a = 18.4757 Å, b = 5.0365 Å, c = 8.1484 Å
α = 90.00°, β = 105.62°, γ = 90.00°
Space group C2/m (No. 12)
One atom of each set of equivalent atoms:
1 Nd 0.0443 0.0000 0.2293 [4 per cell]
2 Nd 0.0912 0.5000 0.9434 [4 per cell]
3 Nd 0.1379 0.0000 0.6812 [4 per cell]
4 Nd 0.1789 0.5000 0.4070 [4 per cell]
5 Er 0.2246 0.0000 0.1319 [4 per cell]
6 Pb 0.0000 0.5000 0.5000 [2 per cell]

---

A relaxed AcGe2O6 crystal. Source: the Alexandria database, functional GGA-PBE.

Values from the calculation:
Total DFT energy (no corrections)   -60.64 eV per formula unit
Polymorph energy (0 for the lowest one)   0.076 eV/atom
Formation energy without anion corrections   -1693 kJ/mol of formula units

a = 11.4933 Å, b = 9.4971 Å, c = 5.5976 Å
α = 90.00°, β = 107.99°, γ = 90.00°
Space group C2/c (No. 15)
One atom of each set of equivalent atoms:
1 Ac 0.0000 0.1564 0.2500 [4 per cell]
2 Ge 0.2286 0.4258 0.1871 [8 per cell]
3 O 0.1142 0.0548 0.6668 [8 per cell]
4 O 0.1564 0.4613 0.4267 [8 per cell]
5 O 0.1792 0.2498 0.1170 [8 per cell]

---

A relaxed LiThBi crystal. Source: the Alexandria database, functional GGA-PBE.

Values from the calculation:
Total DFT energy (no corrections)   -13.57 eV per formula unit
Polymorph energy (0 for the lowest one)   0.360 eV/atom
Energy of formation   -0.118 eV per atom

a = 4.2154 Å, b = 4.2154 Å, c = 9.5158 Å
α = 90.00°, β = 90.00°, γ = 90.00°
Space group I4mm (No. 107)
One atom of each set of equivalent atoms:
1 Li 0.0000 0.0000 0.0000 [2 per cell]
2 Th 0.0000 0.0000 0.6598 [2 per cell]
3 Bi 0.0000 0.0000 0.3202 [2 per cell]

---

A relaxed Cr3GaCo crystal. Source: the Alexandria database, functional GGA-PBE.

Values from the calculation:
Total DFT energy (no corrections)   -31.14 eV per formula unit
Polymorph energy (0 for the lowest one)   0.536 eV/atom
Energy of formation   1.573 eV per atom

a = 4.6698 Å, b = 4.6698 Å, c = 4.6698 Å
α = 90.00°, β = 90.00°, γ = 90.00°
Space group Pm-3m (No. 221)
One atom of each set of equivalent atoms:
1 Cr 0.0000 0.0000 0.5000 [3 per cell]
2 Ga 0.0000 0.0000 0.0000 [1 per cell]
3 Co 0.5000 0.5000 0.5000 [1 per cell]

---

A relaxed RbAlGe crystal. Source: the Alexandria database, functional GGA-PBE.

Values from the calculation:
Total DFT energy (no corrections)   -9.27 eV per formula unit
Energy of formation   0.018 eV per atom

a = 4.2924 Å, b = 12.5448 Å, c = 7.5490 Å
α = 90.00°, β = 90.00°, γ = 90.00°
Space group Aem2 (No. 39)
One atom of each set of equivalent atoms:
1 Rb 0.0000 0.0000 0.0000 [4 per cell]
2 Al 0.2644 0.2500 0.1613 [4 per cell]
3 Ge 0.2430 0.2500 0.8261 [4 per cell]

---

A relaxed GaSiMo2 crystal. Source: the Alexandria database, functional GGA-PBE.

Values from the calculation:
Total DFT energy (no corrections)   -28.79 eV per formula unit
Polymorph energy (0 for the lowest one)   0.292 eV/atom
Formation energy without anion corrections   127 kJ/mol of formula units

a = 6.8991 Å, b = 6.8991 Å, c = 5.4184 Å
α = 90.00°, β = 90.00°, γ = 90.00°
Space group I-42d (No. 122)
One atom of each set of equivalent atoms:
1 Ga 0.0000 0.0000 0.0000 [4 per cell]
2 Si 0.0000 0.0000 0.5000 [4 per cell]
3 Mo 0.2232 0.2500 0.6250 [8 per cell]

---

A relaxed LaNi4Ge12 crystal. Source: the Alexandria database, functional GGA-PBE.

Values from the calculation:
Total DFT energy (no corrections)   -87.46 eV per formula unit
Energy of formation   -0.235 eV per atom

a = 8.4416 Å, b = 8.4416 Å, c = 8.4416 Å
α = 90.00°, β = 90.00°, γ = 90.00°
Space group Im-3 (No. 204)
One atom of each set of equivalent atoms:
1 La 0.0000 0.0000 0.0000 [2 per cell]
2 Ni 0.2500 0.2500 0.2500 [8 per cell]
3 Ge 0.0000 0.3488 0.1627 [24 per cell]

---

A relaxed Sr3Ni crystal. Source: the Alexandria database, functional GGA-PBE.

Values from the calculation:
Total DFT energy (no corrections)   -9.25 eV per formula unit
Energy of formation   0.393 eV per atom

a = 5.0943 Å, b = 5.0943 Å, c = 11.3461 Å
α = 90.00°, β = 90.00°, γ = 90.00°
Space group I4/mmm (No. 139)
One atom of each set of equivalent atoms:
1 Sr 0.0000 0.0000 0.0000 [2 per cell]
2 Sr 0.0000 0.5000 0.2500 [4 per cell]
3 Ni 0.0000 0.0000 0.5000 [2 per cell]

---

A relaxed ScTlCl2 crystal. Source: the Alexandria database, functional GGA-PBE.

Values from the calculation:
Total DFT energy (no corrections)   -15.60 eV per formula unit
Polymorph energy (0 for the lowest one)   0.510 eV/atom
Formation energy without anion corrections   -309 kJ/mol of formula units

a = 3.5691 Å, b = 4.5715 Å, c = 5.7556 Å
α = 90.00°, β = 90.00°, γ = 90.00°
Space group Pmmm (No. 47)
One atom of each set of equivalent atoms:
1 Sc 0.0000 0.0000 0.0000 [1 per cell]
2 Tl 0.5000 0.0000 0.5000 [1 per cell]
3 Cl 0.0000 0.5000 0.5000 [1 per cell]
4 Cl 0.5000 0.5000 0.0000 [1 per cell]

---

A relaxed AsIrRh2 crystal. Source: the Alexandria database, functional GGA-PBE.

Values from the calculation:
Total DFT energy (no corrections)   -28.21 eV per formula unit
Energy of formation   0.000 eV per atom

a = 2.8351 Å, b = 3.9607 Å, c = 5.3926 Å
α = 90.00°, β = 102.88°, γ = 90.00°
Space group P2/m (No. 10)
One atom of each set of equivalent atoms:
1 As 0.0000 0.0000 0.0000 [1 per cell]
2 Ir 0.0000 0.0000 0.5000 [1 per cell]
3 Rh 0.3824 0.5000 0.2426 [2 per cell]

---

A relaxed RuAuSe3 crystal. Source: the Alexandria database, functional GGA-PBE.

Values from the calculation:
Total DFT energy (no corrections)   -19.88 eV per formula unit
Polymorph energy (0 for the lowest one)   0.000 eV/atom
Formation energy without anion corrections   301 kJ/mol of formula units

a = 4.8637 Å, b = 4.8637 Å, c = 4.8637 Å
α = 90.00°, β = 90.00°, γ = 90.00°
Space group Pm-3m (No. 221)
One atom of each set of equivalent atoms:
1 Ru 0.0000 0.0000 0.0000 [1 per cell]
2 Au 0.5000 0.5000 0.5000 [1 per cell]
3 Se 0.0000 0.0000 0.5000 [3 per cell]

---

A relaxed K2ZnHg3 crystal. Source: the Alexandria database, functional GGA-PBE.

Values from the calculation:
Total DFT energy (no corrections)   -5.36 eV per formula unit
Energy of formation   -0.165 eV per atom

a = 8.7158 Å, b = 10.2054 Å, c = 17.5465 Å
α = 90.00°, β = 90.00°, γ = 90.00°
Space group Fmmm (No. 69)
One atom of each set of equivalent atoms:
1 K 0.2399 0.0000 0.0000 [8 per cell]
2 K 0.2500 0.2500 0.2500 [8 per cell]
3 Zn 0.0000 0.0000 0.3332 [8 per cell]
4 Hg 0.0000 0.0000 0.1728 [8 per cell]
5 Hg 0.0000 0.2375 0.4132 [16 per cell]

---

A relaxed NaPaPbAu crystal. Source: the Alexandria database, functional GGA-PBE.

Values from the calculation:
Total DFT energy (no corrections)   -18.00 eV per formula unit
Energy of formation   -0.049 eV per atom

a = 7.3616 Å, b = 7.3616 Å, c = 7.3616 Å
α = 90.00°, β = 90.00°, γ = 90.00°
Space group F-43m (No. 216)
One atom of each set of equivalent atoms:
1 Na 0.0000 0.0000 0.0000 [4 per cell]
2 Pa 0.0000 0.0000 0.5000 [4 per cell]
3 Pb 0.2500 0.2500 0.7500 [4 per cell]
4 Au 0.2500 0.2500 0.2500 [4 per cell]

---

A relaxed LiHo2Cd crystal. Source: the Alexandria database, functional GGA-PBE.

Values from the calculation:
Total DFT energy (no corrections)   -11.48 eV per formula unit
Polymorph energy (0 for the lowest one)   0.243 eV/atom
Energy of formation   0.127 eV per atom

a = 3.3929 Å, b = 3.3929 Å, c = 34.6782 Å
α = 90.00°, β = 90.00°, γ = 120.00°
Space group R-3m (No. 166, hexagonal axes)
One atom of each set of equivalent atoms:
1 Li 0.0000 0.0000 0.0000 [3 per cell]
2 Ho 0.0000 0.0000 0.0929 [6 per cell]
3 Cd 0.0000 0.0000 0.5000 [3 per cell]

---

A relaxed Nd2USnN5 crystal. Source: the Alexandria database, functional GGA-PBE.

Values from the calculation:
Total DFT energy (no corrections)   -74.96 eV per formula unit
Formation energy without anion corrections   -821 kJ/mol of formula units

a = 3.5118 Å, b = 14.3925 Å, c = 10.6783 Å
α = 90.00°, β = 90.00°, γ = 90.00°
Space group Cmc2_1 (No. 36)
One atom of each set of equivalent atoms:
1 Nd 0.0000 0.1104 0.0000 [4 per cell]
2 Nd 0.0000 0.1314 0.5949 [4 per cell]
3 U 0.0000 0.2172 0.3119 [4 per cell]
4 Sn 0.0000 0.4818 0.7735 [4 per cell]
5 N 0.0000 0.0587 0.3645 [4 per cell]
6 N 0.0000 0.2807 0.9438 [4 per cell]
7 N 0.0000 0.3020 0.6822 [4 per cell]
8 N 0.0000 0.3696 0.3088 [4 per cell]
9 N 0.0000 0.4965 0.0812 [4 per cell]

---

A relaxed TlTeBr2 crystal. Source: the Alexandria database, functional GGA-PBE.

Values from the calculation:
Total DFT energy (no corrections)   -9.78 eV per formula unit
Polymorph energy (0 for the lowest one)   0.079 eV/atom
Formation energy without anion corrections   -89 kJ/mol of formula units

a = 8.2126 Å, b = 9.4196 Å, c = 3.7048 Å
α = 90.00°, β = 114.11°, γ = 90.00°
Space group C2/m (No. 12)
One atom of each set of equivalent atoms:
1 Tl 0.0000 0.0000 0.0000 [2 per cell]
2 Te 0.0000 0.5000 0.0000 [2 per cell]
3 Br 0.2500 0.2500 0.0000 [4 per cell]

---

A relaxed NpIn2 crystal. Source: the Alexandria database, functional GGA-PBE.

Values from the calculation:
Total DFT energy (no corrections)   -17.95 eV per formula unit
Energy of formation   0.156 eV per atom

a = 8.4479 Å, b = 8.4479 Å, c = 8.4479 Å
α = 90.00°, β = 90.00°, γ = 90.00°
Space group Fd-3m (No. 227, origin choice 2)
One atom of each set of equivalent atoms:
1 Np 0.1250 0.1250 0.1250 [8 per cell]
2 In 0.0000 0.0000 0.5000 [16 per cell]

---

A relaxed SrCr4 crystal. Source: the Alexandria database, functional GGA-PBE.

Values from the calculation:
Total DFT energy (no corrections)   -27.79 eV per formula unit
Polymorph energy (0 for the lowest one)   1.834 eV/atom
Energy of formation   2.478 eV per atom

a = 5.0255 Å, b = 5.0255 Å, c = 5.0255 Å
α = 90.00°, β = 90.00°, γ = 90.00°
Space group Pm-3m (No. 221)
One atom of each set of equivalent atoms:
1 Sr 0.0000 0.0000 0.0000 [1 per cell]
2 Cr 0.0000 0.0000 0.5000 [3 per cell]
3 Cr 0.5000 0.5000 0.5000 [1 per cell]

---

A relaxed ScReP2 crystal. Source: the Alexandria database, functional GGA-PBE.

Values from the calculation:
Total DFT energy (no corrections)   -31.95 eV per formula unit
Polymorph energy (0 for the lowest one)   0.143 eV/atom
Energy of formation   -0.588 eV per atom

a = 3.7433 Å, b = 3.7433 Å, c = 16.1140 Å
α = 90.00°, β = 90.00°, γ = 120.00°
Space group R-3m (No. 166, hexagonal axes)
One atom of each set of equivalent atoms:
1 Sc 0.0000 0.0000 0.0000 [3 per cell]
2 Re 0.0000 0.0000 0.5000 [3 per cell]
3 P 0.0000 0.0000 0.2380 [6 per cell]

---

A relaxed TaRuPb2 crystal. Source: the Alexandria database, functional GGA-PBE.

Values from the calculation:
Total DFT energy (no corrections)   -27.08 eV per formula unit
Polymorph energy (0 for the lowest one)   0.270 eV/atom
Energy of formation   0.366 eV per atom

a = 10.5914 Å, b = 3.3583 Å, c = 6.5292 Å
α = 90.00°, β = 127.49°, γ = 90.00°
Space group Cm (No. 8)
One atom of each set of equivalent atoms:
1 Ta 0.0000 0.0000 0.0000 [2 per cell]
2 Ru 0.4055 0.0000 0.6615 [2 per cell]
3 Pb 0.1317 0.5000 0.5261 [2 per cell]
4 Pb 0.2793 0.5000 0.1400 [2 per cell]

---

A relaxed CaLaTc2 crystal. Source: the Alexandria database, functional GGA-PBE.

Values from the calculation:
Total DFT energy (no corrections)   -26.61 eV per formula unit
Polymorph energy (0 for the lowest one)   0.083 eV/atom
Energy of formation   0.263 eV per atom

a = 3.2166 Å, b = 4.0441 Å, c = 8.0558 Å
α = 90.00°, β = 97.72°, γ = 90.00°
Space group Pm (No. 6)
One atom of each set of equivalent atoms:
1 Ca 0.0000 0.0000 0.0000 [1 per cell]
2 La 0.6759 0.5000 0.4192 [1 per cell]
3 Tc 0.1594 0.0000 0.6492 [1 per cell]
4 Tc 0.5177 0.5000 0.7481 [1 per cell]

---

A relaxed KVPb3 crystal. Source: the Alexandria database, functional GGA-PBE.

Values from the calculation:
Total DFT energy (no corrections)   -13.96 eV per formula unit
Polymorph energy (0 for the lowest one)   1.367 eV/atom
Energy of formation   1.477 eV per atom

a = 5.8383 Å, b = 5.8383 Å, c = 5.8383 Å
α = 90.00°, β = 90.00°, γ = 90.00°
Space group Pm-3m (No. 221)
One atom of each set of equivalent atoms:
1 K 0.0000 0.0000 0.0000 [1 per cell]
2 V 0.5000 0.5000 0.5000 [1 per cell]
3 Pb 0.0000 0.0000 0.5000 [3 per cell]

---

A relaxed MgZnS2 crystal. Source: the Alexandria database, functional GGA-PBE.

Values from the calculation:
Total DFT energy (no corrections)   -14.12 eV per formula unit
Formation energy without anion corrections   -289 kJ/mol of formula units

a = 6.6920 Å, b = 6.6920 Å, c = 6.2301 Å
α = 90.00°, β = 90.00°, γ = 90.00°
Space group I4/mcm (No. 140)
One atom of each set of equivalent atoms:
1 Mg 0.0000 0.0000 0.2500 [4 per cell]
2 Zn 0.0000 0.5000 0.2500 [4 per cell]
3 S 0.1883 0.3117 0.0000 [8 per cell]

---

A relaxed Rb2Ag2Ge crystal. Source: the Alexandria database, functional GGA-PBE.

Values from the calculation:
Total DFT energy (no corrections)   -11.54 eV per formula unit
Energy of formation   0.143 eV per atom

a = 7.1888 Å, b = 7.1888 Å, c = 5.8742 Å
α = 90.00°, β = 90.00°, γ = 90.00°
Space group P4/mbm (No. 127)
One atom of each set of equivalent atoms:
1 Rb 0.1770 0.3230 0.0000 [4 per cell]
2 Ag 0.1524 0.6524 0.5000 [4 per cell]
3 Ge 0.0000 0.0000 0.5000 [2 per cell]